[1]
## Zn2Ag2Pd (PBE-GGA)

Data for a relaxed Zn2Ag2Pd crystal.

As for the formation energy: -16 meV/atom.

The structure belongs to space group P4/mbm (No. 127); the cell edges are 7.502, 7.502 and 2.913 Å and the angles 90.00°, 90.00° and 90.00°. The inequivalent atoms are Zn at (0.167, 0.333, 0.000), Ag at (0.133, 0.633, 0.500) and Pd at (0.000, 0.000, 0.500).

=====

[2]
## GdPuPt2 (PBE-GGA)

Data for a relaxed GdPuPt2 crystal.

As for the formation energy: -898 meV/atom.

The structure belongs to space group R-3m (No. 166, hexagonal axes); the cell edges are 4.1341, 4.1341 and 19.7124 Å and the angles 90.00°, 90.00° and 120.00°. The inequivalent atoms are Gd at (0.0000, 0.0000, 0.0000), Pu at (0.0000, 0.0000, 0.5000) and Pt at (0.0000, 0.0000, 0.2465).

=====

[3]
## Co2BiIN (PBE-GGA)

Data for a relaxed Co2BiIN crystal.

The formation energy without anion corrections comes out at 152.2 kJ/mol of atoms.

The structure belongs to space group P4/mmm (No. 123); the cell edges are 4.815, 4.815 and 4.099 Å and the angles 90.00°, 90.00° and 90.00°. The inequivalent atoms are Co at (0.000, 0.500, 0.000), Bi at (0.000, 0.000, 0.500), I at (0.500, 0.500, 0.000) and N at (0.500, 0.500, 0.500).